Below is a geometry-optimized Zn2WCl structure, with properties calculated at the PBE level.

The structure in extended XYZ format:
```
4
Lattice="5.323 0.005 0.000 2.787 4.534 0.000 -4.055 -2.270 2.595" Properties=species:S:1:pos:R:3 pbc="T T T"
Zn 4.055 2.270 0.000
Zn 0.000 0.000 0.000
W 2.661 0.003 1.298
Cl 1.394 2.267 1.298
```

The calculation puts the energy relative to the lowest polymorph listed for this composition at 0.6829 eV per atom. Its total energy is -3.50 eV/atom. The formation energy from raw total energies comes out at 0.8384 eV per atom.